Record 1
DFT (PBE-GGA) results for a geometry-optimized KLiTe2 structure.

Cell lengths 3.790, 3.790, 28.370 Å; angles 90.00, 90.00, 120.00 degrees
Fractional coordinates of all 12 atoms:
1 K 0.000 0.000 0.000
2 K 0.333 0.667 0.667
3 K 0.667 0.333 0.333
4 Li 0.000 0.000 0.500
5 Li 0.333 0.667 0.167
6 Li 0.667 0.333 0.833
7 Te 0.000 0.000 0.237
8 Te 0.000 0.000 0.763
9 Te 0.333 0.667 0.430
10 Te 0.333 0.667 0.904
11 Te 0.667 0.333 0.096
12 Te 0.667 0.333 0.570

volume: 352.90 Å³/cell
space-group type: R-3m
ΔE to the lowest computed polymorph: 249 meV per atom

***

Record 2
DFT (PBE-GGA) results for a geometry-optimized KLiTe2 structure.

Cell lengths 7.829, 7.829, 7.829 Å; angles 90.00, 90.00, 90.00 degrees
Fractional coordinates of all 16 atoms:
1 K 0.000 0.000 0.000
2 K 0.000 0.500 0.500
3 K 0.500 0.000 0.500
4 K 0.500 0.500 0.000
5 Li 0.000 0.000 0.500
6 Li 0.000 0.500 0.000
7 Li 0.500 0.000 0.000
8 Li 0.500 0.500 0.500
9 Te 0.250 0.250 0.250
10 Te 0.250 0.250 0.750
11 Te 0.250 0.750 0.250
12 Te 0.250 0.750 0.750
13 Te 0.750 0.250 0.250
14 Te 0.750 0.250 0.750
15 Te 0.750 0.750 0.250
16 Te 0.750 0.750 0.750

volume: 479.84 Å³/cell
space-group type: Fm-3m
ΔE to the lowest computed polymorph: 318 meV per atom

***

Record 3
DFT (PBE-GGA) results for a geometry-optimized KLiTe2 structure.

Cell lengths 6.220, 9.182, 4.954 Å; angles 90.00, 90.00, 90.00 degrees
Fractional coordinates of all 8 atoms:
1 K 0.000 0.000 0.000
2 K 0.500 0.500 0.000
3 Li 0.000 0.500 0.500
4 Li 0.500 0.000 0.500
5 Te 0.250 0.250 0.500
6 Te 0.250 0.750 0.500
7 Te 0.750 0.250 0.500
8 Te 0.750 0.750 0.500

volume: 282.92 Å³/cell
space-group type: Cmmm
ΔE to the lowest computed polymorph: 44 meV per atom

***

Record 4
DFT (PBE-GGA) results for a geometry-optimized KLi2Te2 structure.

Cell lengths 9.156, 7.947, 6.762 Å; angles 76.52, 57.58, 45.91 degrees
Fractional coordinates of all 10 atoms:
1 K 0.125 0.125 0.125
2 K 0.875 0.875 0.875
3 Li 0.270 0.270 0.480
4 Li 0.480 0.480 0.270
5 Li 0.520 0.520 0.730
6 Li 0.730 0.730 0.520
7 Te 0.169 0.581 0.169
8 Te 0.419 0.831 0.419
9 Te 0.581 0.169 0.581
10 Te 0.831 0.419 0.831

volume: 290.24 Å³/cell
space-group type: Fddd
ΔE to the lowest computed polymorph: 15 meV per atom

***

Record 5
DFT (PBE-GGA) results for a geometry-optimized KLi2Te2 structure.

Cell lengths 8.954, 8.954, 3.457 Å; angles 90.00, 90.00, 90.00 degrees
Fractional coordinates of all 10 atoms:
1 K 0.000 0.000 0.000
2 K 0.500 0.500 0.000
3 Li 0.122 0.378 0.500
4 Li 0.378 0.878 0.500
5 Li 0.622 0.122 0.500
6 Li 0.878 0.622 0.500
7 Te 0.163 0.663 0.000
8 Te 0.337 0.163 0.000
9 Te 0.663 0.837 0.000
10 Te 0.837 0.337 0.000

volume: 277.21 Å³/cell
space-group type: P4/mbm
ΔE to the lowest computed polymorph: 106 meV per atom

***

Record 6
DFT (PBE-GGA) results for a geometry-optimized KLiTe2 structure.

Cell lengths 3.151, 4.684, 9.244 Å; angles 90.00, 90.00, 90.00 degrees
Fractional coordinates of all 4 atoms:
1 K 0.000 0.000 0.000
2 Li 0.500 0.500 0.521
3 Te 0.000 0.000 0.629
4 Te 0.500 0.500 0.219

volume: 136.45 Å³/cell
space-group type: Pmm2
ΔE to the lowest computed polymorph: 182 meV per atom

***

Record 7
DFT (PBE-GGA) results for a geometry-optimized KLi2Te2 structure.

Cell lengths 8.678, 8.678, 3.450 Å; angles 90.00, 90.00, 90.00 degrees
Fractional coordinates of all 10 atoms:
1 K 0.000 0.000 0.000
2 K 0.500 0.500 0.000
3 Li 0.120 0.380 0.000
4 Li 0.380 0.880 0.000
5 Li 0.620 0.120 0.000
6 Li 0.880 0.620 0.000
7 Te 0.171 0.671 0.500
8 Te 0.329 0.171 0.500
9 Te 0.671 0.829 0.500
10 Te 0.829 0.329 0.500

volume: 259.81 Å³/cell
space-group type: P4/mbm
ΔE to the lowest computed polymorph: 49 meV per atom

***

Record 8
DFT (PBE-GGA) results for a geometry-optimized K2LiTe structure.

Cell lengths 5.116, 5.116, 24.201 Å; angles 90.00, 90.00, 90.00 degrees
Fractional coordinates of all 16 atoms:
1 K 0.223 0.250 0.125
2 K 0.250 0.723 0.375
3 K 0.250 0.777 0.875
4 K 0.277 0.250 0.625
5 K 0.723 0.750 0.625
6 K 0.750 0.223 0.875
7 K 0.750 0.277 0.375
8 K 0.777 0.750 0.125
9 Li 0.000 0.000 0.500
10 Li 0.000 0.500 0.750
11 Li 0.500 0.000 0.250
12 Li 0.500 0.500 0.000
13 Te 0.000 0.000 0.000
14 Te 0.000 0.500 0.250
15 Te 0.500 0.000 0.750
16 Te 0.500 0.500 0.500

volume: 633.39 Å³/cell
space-group type: I-42d
uncorrected energy: -0.1538 Ry per atom

***

Record 9
DFT (PBE-GGA) results for a geometry-optimized K2LiTe2 structure.

Cell lengths 14.509, 14.509, 21.003 Å; angles 90.00, 90.00, 90.00 degrees
Fractional coordinates of all 5 atoms:
1 K 0.000 0.000 0.231
2 K 0.000 0.000 0.769
3 Li 0.000 0.000 0.500
4 Te 0.000 0.000 0.377
5 Te 0.000 0.000 0.623

volume: 4421.14 Å³/cell
space-group type: P4/mmm
ΔE to the lowest computed polymorph: 931 meV per atom

***

Record 10
DFT (PBE-GGA) results for a geometry-optimized K2LiTe2 structure.

Cell lengths 6.892, 6.892, 12.002 Å; angles 105.89, 105.89, 41.87 degrees
Fractional coordinates of all 10 atoms:
1 K 0.010 0.010 0.337
2 K 0.172 0.172 0.097
3 K 0.828 0.828 0.903
4 K 0.990 0.990 0.663
5 Li 0.254 0.254 0.581
6 Li 0.746 0.746 0.419
7 Te 0.323 0.323 0.385
8 Te 0.463 0.463 0.102
9 Te 0.537 0.537 0.898
10 Te 0.677 0.677 0.615

volume: 363.79 Å³/cell
space-group type: C2/m
ΔE to the lowest computed polymorph: 0 meV per atom

***

Record 11
DFT (PBE-GGA) results for a geometry-optimized KLiTe structure.

Cell lengths 5.879, 5.890, 11.393 Å; angles 90.00, 90.00, 90.00 degrees
Fractional coordinates of all 12 atoms:
1 K 0.000 0.000 0.000
2 K 0.000 0.500 0.500
3 K 0.500 0.000 0.500
4 K 0.500 0.500 0.000
5 Li 0.000 0.000 0.251
6 Li 0.000 0.500 0.751
7 Li 0.500 0.000 0.751
8 Li 0.500 0.500 0.251
9 Te 0.000 0.000 0.700
10 Te 0.000 0.500 0.200
11 Te 0.500 0.000 0.200
12 Te 0.500 0.500 0.700

volume: 394.54 Å³/cell
space-group type: Fmm2
uncorrected energy: -0.2076 Ry per atom

***

Record 12
DFT (PBE-GGA) results for a geometry-optimized KLiTe2 structure.

Cell lengths 7.937, 9.123, 3.292 Å; angles 90.00, 90.00, 90.00 degrees
Fractional coordinates of all 8 atoms:
1 K 0.000 0.000 0.000
2 K 0.500 0.500 0.000
3 Li 0.000 0.500 0.000
4 Li 0.500 0.000 0.000
5 Te 0.250 0.250 0.500
6 Te 0.250 0.750 0.500
7 Te 0.750 0.250 0.500
8 Te 0.750 0.750 0.500

volume: 238.33 Å³/cell
space-group type: Cmmm
ΔE to the lowest computed polymorph: 191 meV per atom

***

What is the formula in the second record?
KLiTe2

***

The lowest volume belongs to which entry?
number 6